Here is Gd2Te after structural relaxation from OQMD. Energies are from PBE-GGA.

abc: 6.3307 6.3307 6.3307
angles: 60.00 60.00 60.00
Fractional positions:
Gd1 0.0000 0.0000 0.0000
Gd2 0.0000 0.0000 0.5000
Gd3 0.0000 0.5000 0.0000
Gd4 0.5000 0.0000 0.0000
Te1 0.3750 0.3750 0.3750
Te2 0.6250 0.6250 0.6250

Properties
As for the space group: Fd-3m, No. 227. The total magnetic moment is 0.01 μB/f.u. The calculation puts the uncorrected energy at -25.92 eV per cell. The value obtained for the volume is 179 Å³ per cell.